[1]
Density functional theory data (GGA-PBE) for crystalline AcPm5S6 at its relaxed geometry.

The structure in POSCAR format:
```
AcPm5S6
1.0
3.5327 -6.1337 0.0000
3.5327 6.1337 0.0000
-2.3843 0.0000 6.6523
Ac Pm S
1 5 6
Direct
0.0000 0.0000 0.0000
0.1643 0.8357 0.5000
0.3325 0.6675 0.0000
0.5000 0.5000 0.5000
0.6675 0.3325 0.0000
0.8357 0.1643 0.5000
0.0861 0.4281 0.2570
0.2581 0.2581 0.7466
0.4281 0.0861 0.2570
0.5719 0.9139 0.7430
0.7419 0.7419 0.2534
0.9139 0.5719 0.7430
```

Calculated values
D(E_F): 0.40 states/eV/atom
Total DFT energy (no corrections): -6.405 eV per atom
E_form (uncorrected): -2.019 eV/atom
SG: C2/m
Total moment: 0.00 μB/cell

---

[2]
Density functional theory data (GGA-PBE) for crystalline Ac3PmS6 at its relaxed geometry.

The structure in POSCAR format:
```
Ac3PmS6
1.0
6.5299 -3.7830 0.0000
6.5299 3.7830 0.0000
-4.0116 0.0000 6.2437
Ac Pm S
3 1 6
Direct
0.0000 0.0000 0.0000
0.2485 0.2485 0.7036
0.7515 0.7515 0.2964
0.5000 0.5000 0.5000
0.1633 0.6585 0.6536
0.2597 0.2597 0.1100
0.3415 0.8367 0.3464
0.6585 0.1633 0.6536
0.7403 0.7403 0.8900
0.8367 0.3415 0.3464
```

Calculated values
D(E_F): 0.00 states/eV/atom
Total DFT energy (no corrections): -6.208 eV per atom
ΔE to the lowest computed polymorph: 115 meV/atom
E_form (uncorrected): -2.024 eV/atom
SG: C2/m
Total moment: 0.00 μB/cell

---

[3]
Density functional theory data (GGA-PBE) for crystalline AcPm3S4 at its relaxed geometry.

The structure in POSCAR format:
```
AcPm3S4
1.0
4.0776 0.0000 0.0000
-2.0388 3.5313 0.0000
0.0000 0.0000 27.2267
Ac Pm S
2 6 8
Direct
0.3333 0.6667 0.2500
0.6667 0.3333 0.7500
0.0000 0.0000 0.0000
0.0000 0.0000 0.5000
0.3333 0.6667 0.6189
0.3333 0.6667 0.8811
0.6667 0.3333 0.1189
0.6667 0.3333 0.3811
0.0000 0.0000 0.1792
0.0000 0.0000 0.3208
0.0000 0.0000 0.6792
0.0000 0.0000 0.8208
0.3333 0.6667 0.0597
0.3333 0.6667 0.4403
0.6667 0.3333 0.5597
0.6667 0.3333 0.9403
```

Calculated values
D(E_F): 0.59 states/eV/atom
Total DFT energy (no corrections): -6.364 eV per atom
ΔE to the lowest computed polymorph: 0 meV/atom
E_form (uncorrected): -2.005 eV/atom
SG: P6_3/mmc
Total moment: 0.62 μB/cell

---

[4]
Density functional theory data (GGA-PBE) for crystalline AcPm4S5 at its relaxed geometry.

The structure in POSCAR format:
```
AcPm4S5
1.0
-2.0395 2.8991 10.2458
2.0395 -2.8991 10.2458
2.0395 2.8991 -10.2458
Ac Pm S
1 4 5
Direct
0.0000 0.0000 0.0000
0.2030 0.2030 0.0000
0.3986 0.3986 0.0000
0.6014 0.6014 0.0000
0.7970 0.7970 0.0000
0.1066 0.6066 0.5000
0.3007 0.8007 0.5000
0.5000 0.0000 0.5000
0.6993 0.1993 0.5000
0.8934 0.3934 0.5000
```

Calculated values
D(E_F): 0.52 states/eV/atom
Total DFT energy (no corrections): -6.381 eV per atom
E_form (uncorrected): -2.006 eV/atom
SG: Immm
Total moment: 0.00 μB/cell

---

[5]
Density functional theory data (GGA-PBE) for crystalline Ac2PmS4 at its relaxed geometry.

The structure in POSCAR format:
```
Ac2PmS4
1.0
2.0208 -7.1341 0.0000
2.0208 7.1341 0.0000
0.0000 0.0000 13.8647
Ac Pm S
4 2 8
Direct
0.1303 0.8697 0.5753
0.1303 0.8697 0.9247
0.8697 0.1303 0.0753
0.8697 0.1303 0.4247
0.3722 0.6278 0.7500
0.6278 0.3722 0.2500
0.0135 0.9865 0.7500
0.2186 0.7814 0.1264
0.2186 0.7814 0.3736
0.5000 0.5000 0.0000
0.5000 0.5000 0.5000
0.7814 0.2186 0.6264
0.7814 0.2186 0.8736
0.9865 0.0135 0.2500
```

Calculated values
D(E_F): 0.28 states/eV/atom
Total DFT energy (no corrections): -6.233 eV per atom
E_form (uncorrected): -2.022 eV/atom
SG: Cmcm
Total moment: 0.00 μB/cell

---

[6]
Density functional theory data (GGA-PBE) for crystalline AcPmSbS at its relaxed geometry.

The structure in POSCAR format:
```
AcPmSbS
1.0
5.0823 0.0000 0.0000
0.0000 5.0823 0.0000
0.0000 0.0000 10.3510
Ac Pm Sb S
2 2 2 2
Direct
0.2500 0.2500 0.1410
0.7500 0.7500 0.8590
0.2500 0.7500 0.5000
0.7500 0.2500 0.5000
0.2500 0.2500 0.6814
0.7500 0.7500 0.3186
0.2500 0.7500 0.0000
0.7500 0.2500 0.0000
```

Calculated values
D(E_F): 0.55 states/eV/atom
Total DFT energy (no corrections): -5.605 eV per atom
E_form (uncorrected): -1.328 eV/atom
SG: P4/nmm
Total moment: 0.01 μB/cell

---

Please write out number 5 again, unchanged.
Density functional theory data (GGA-PBE) for crystalline Ac2PmS4 at its relaxed geometry.

The structure in POSCAR format:
```
Ac2PmS4
1.0
2.0208 -7.1341 0.0000
2.0208 7.1341 0.0000
0.0000 0.0000 13.8647
Ac Pm S
4 2 8
Direct
0.1303 0.8697 0.5753
0.1303 0.8697 0.9247
0.8697 0.1303 0.0753
0.8697 0.1303 0.4247
0.3722 0.6278 0.7500
0.6278 0.3722 0.2500
0.0135 0.9865 0.7500
0.2186 0.7814 0.1264
0.2186 0.7814 0.3736
0.5000 0.5000 0.0000
0.5000 0.5000 0.5000
0.7814 0.2186 0.6264
0.7814 0.2186 0.8736
0.9865 0.0135 0.2500
```

Calculated values
D(E_F): 0.28 states/eV/atom
Total DFT energy (no corrections): -6.233 eV per atom
E_form (uncorrected): -2.022 eV/atom
SG: Cmcm
Total moment: 0.00 μB/cell